The following is a DFT calculation (PBE-GGA) of a relaxed Cs2NaZnBi2 crystal.

**Space-group type**: Ibam (72)
**Total magnetization**: 0.00 μB per atom
**Uncorrected energy**: -2.31 eV per atom
**Calculated volume**: 246.9 Å³/f.u.

a b c (Å): 7.667 7.427 10.182
angles (deg): 111.39 112.12 90.00
Fractional positions:
Na  0.000  0.750  0.000
Bi  0.379  0.587  0.174
Zn  0.500  0.250  0.000
Cs  0.407  0.166  0.332
Zn  0.500  0.750  0.000
Cs  0.925  0.666  0.332
Na  0.000  0.250  0.000
Bi  0.795  0.087  0.174
Bi  0.621  0.413  0.826
Cs  0.075  0.334  0.668
Bi  0.205  0.913  0.826
Cs  0.593  0.834  0.668



The following is a DFT calculation (PBE-GGA) of a relaxed Cs2Na4ZnBi2 crystal.

**Space-group type**: C2/m (12)
**Total magnetization**: 0.00 μB per atom
**Uncorrected energy**: -1.96 eV per atom
**Calculated volume**: 354.3 Å³/f.u.

a b c (Å): 5.772 8.933 8.933
angles (deg): 55.47 71.50 71.50
Fractional positions:
Cs  0.361  0.636  0.636
Cs  0.639  0.364  0.364
Zn  0.500  0.000  0.000
Bi  0.683  0.819  0.819
Na  0.870  0.921  0.332
Na  0.130  0.079  0.668
Na  0.130  0.668  0.079
Na  0.870  0.332  0.921
Bi  0.317  0.181  0.181



The following is a DFT calculation (PBE-GGA) of a relaxed Cs6NbBi4 crystal.

**Space-group type**: P6_3mc (186)
**Total magnetization**: 0.07 μB per atom
**Uncorrected energy**: -3.07 eV per atom
**Calculated volume**: 604.0 Å³/f.u.

a b c (Å): 9.680 12.004 12.004
angles (deg): 120.00 90.00 90.00
Last column: magnetic moment on the atom in μB.
Fractional positions:
Cs  0.638  0.531  0.063  0.01
Cs  0.638  0.531  0.469  0.01
Cs  0.138  0.469  0.531  0.01
Cs  0.455  0.712  0.856  0.01
Bi  0.460  0.333  0.667  0.13
Bi  0.836  0.206  0.412  0.10
Bi  0.836  0.588  0.794  0.10
Cs  0.455  0.144  0.856  0.01
Bi  0.336  0.794  0.206  0.10
Bi  0.336  0.412  0.206  0.10
Cs  0.455  0.144  0.288  0.01
Cs  0.955  0.856  0.144  0.01
Cs  0.638  0.937  0.469  0.01
Nb  0.246  0.667  0.333  -0.11
Cs  0.138  0.063  0.531  0.01
Nb  0.746  0.333  0.667  -0.11
Cs  0.138  0.469  0.937  0.01
Bi  0.960  0.667  0.333  0.13
Cs  0.955  0.288  0.144  0.01
Bi  0.836  0.206  0.794  0.10
Cs  0.955  0.856  0.712  0.01
Bi  0.336  0.794  0.588  0.10



The following is a DFT calculation (PBE-GGA) of a relaxed CsNbBi3 crystal.

**Space-group type**: Pm-3m (221)
**Total magnetization**: 0.00 μB per atom
**Uncorrected energy**: -4.42 eV per atom
**Calculated volume**: 181.6 Å³/f.u.

a b c (Å): 5.663 5.663 5.663
angles (deg): 90.00 90.00 90.00
Fractional positions:
Bi  0.500  0.000  0.000
Nb  0.000  0.000  0.000
Bi  0.000  0.000  0.500
Bi  0.000  0.500  0.000
Cs  0.500  0.500  0.500



The following is a DFT calculation (PBE-GGA) of a relaxed Cs3NbBi crystal.

**Space-group type**: Pm-3m (221)
**Offset from the most stable computed form**: 0.000 eV per atom
**Total magnetization**: 1.14 μB per atom
**Calculated volume**: 413.7 Å³/f.u.

a b c (Å): 7.451 7.451 7.451
angles (deg): 90.00 90.00 90.00
Last column: magnetic moment on the atom in μB.
Fractional positions:
Nb  0.500  0.500  0.500  3.40
Bi  0.000  0.000  0.000  0.20
Cs  0.000  0.500  0.000  0.01
Cs  0.500  0.000  0.000  0.01
Cs  0.000  0.000  0.500  0.01



The following is a DFT calculation (PBE-GGA) of a relaxed CsNbBi2O6 crystal.

**Formation energy (no corrections)**: -1.76 eV per atom
**Space-group type**: C2/c (15)
**Total magnetization**: 0.00 μB per atom
**Calculated volume**: 240.2 Å³/f.u.

a b c (Å): 7.688 8.456 8.456
angles (deg): 97.72 71.93 71.93
Fractional positions:
O  0.517  0.804  0.346
O  0.735  0.775  0.972
O  0.235  0.972  0.775
Nb  0.750  0.811  0.189
O  0.017  0.346  0.804
O  0.040  0.647  0.557
O  0.460  0.443  0.353
O  0.265  0.225  0.028
Bi  0.162  0.453  0.292
O  0.765  0.028  0.225
O  0.540  0.557  0.647
Bi  0.662  0.292  0.453
O  0.960  0.353  0.443
O  0.483  0.196  0.654
O  0.983  0.654  0.196
Nb  0.250  0.189  0.811
Bi  0.838  0.547  0.708
Cs  0.250  0.887  0.113
Cs  0.750  0.113  0.887
Bi  0.338  0.708  0.547



The following is a DFT calculation (PBE-GGA) of a relaxed CsNb2BiO8 crystal.

**Formation energy (no corrections)**: -1.80 eV per atom
**Space-group type**: P-3 (147)
**Total magnetization**: 0.00 μB per atom
**Calculated volume**: 225.6 Å³/f.u.

a b c (Å): 5.738 5.738 7.912
angles (deg): 90.00 90.00 120.00
Fractional positions:
Cs  0.000  0.000  0.500
O  0.333  0.667  0.687
O  0.317  0.957  0.111
Bi  0.000  0.000  0.000
Nb  0.667  0.333  0.089
O  0.640  0.683  0.111
O  0.360  0.317  0.889
O  0.667  0.333  0.313
O  0.683  0.043  0.889
O  0.957  0.640  0.889
O  0.043  0.360  0.111
Nb  0.333  0.667  0.911



The following is a DFT calculation (PBE-GGA) of a relaxed Cs2NbBiO6 crystal.

**Formation energy (no corrections)**: -1.57 eV per atom
**Space-group type**: Fm-3m (225)
**Total magnetization**: 0.00 μB per atom
**Calculated volume**: 159.4 Å³/f.u.

a b c (Å): 6.086 6.086 6.086
angles (deg): 60.00 60.00 60.00
Fractional positions:
O  0.237  0.237  0.763
O  0.763  0.237  0.763
O  0.237  0.763  0.763
Nb  0.000  0.000  0.000
O  0.763  0.237  0.237
O  0.763  0.763  0.237
Cs  0.750  0.750  0.750
Bi  0.500  0.500  0.500
Cs  0.250  0.250  0.250
O  0.237  0.763  0.237



Question: Which value of calculated volume does entry 5 give?
Answer: 413.7 Å³/f.u.